Pm6PrSm2, optimized geometry, DFT PBE-GGA; N(E_F) = 1.562 states/eV/atom; crystal system = tetragonal; volume = 40.22 Å³/atom; total magnetization = 0.000 μB/atom; formation enthalpy at 0 K = 0.622 eV/atom
1.0
8.2734 0.0000 0.0000
0.0000 8.2734 0.0000
0.0000 0.0000 10.5769
Pm Pr Sm
12 2 4
direct
0.2367 0.2367 0.0000
0.2381 0.2381 0.3335
0.2381 0.2381 0.6665
0.2619 0.7381 0.1665
0.2619 0.7381 0.8335
0.2633 0.7367 0.5000
0.7367 0.2633 0.5000
0.7381 0.2619 0.1665
0.7381 0.2619 0.8335
0.7619 0.7619 0.3335
0.7619 0.7619 0.6665
0.7633 0.7633 0.0000
0.0000 0.0000 0.5000
0.5000 0.5000 0.0000
0.0000 0.0000 0.1671
0.0000 0.0000 0.8329
0.5000 0.5000 0.3329
0.5000 0.5000 0.6671